DFT (meta-GGA SCAN) results for a PBEsol-optimized structure of CaZrCd2.

Values from the calculation:
**Formation enthalpy at 0 K**: 0.014 eV per atom
**Final energy**: -101.135 eV for the cell shown
**Symmetry**: R-3m
**Calculated density**: 6.22 g/cm³

Geometry as POSCAR:
```
CaZrCd2
1.0
1.6342 0.9435 10.2776
-1.6342 0.9435 10.2776
0.0000 -1.8870 10.2776
Ca Zr Cd
1 1 2
Cartesian
0.0000 0.0000 0.0000 Ca
0.0000 0.0000 15.4164 Zr
0.0000 0.0000 7.6138 Cd
0.0000 0.0000 23.2190 Cd
```